Record 1
A relaxed LaFeIr crystal, computed with PBE-GGA.

M_tot (Bohr magnetons per cell): 2.523
E_form (eV per atom): 0.009

a = 5.6656 Å, b = 5.6655 Å, c = 3.4719 Å
α = 72.16°, β = 72.16°, γ = 35.69°
Closest atoms and distances in Å follow each position.
Fractional positions:
Ir 0.6126 0.6126 0.3874  4 Fe 2.52
Fe 0.0581 0.0581 0.9419  4 Ir 2.52, 1 La 2.77
La 0.3293 0.3293 0.6707  1 Fe 2.77, 1 Ir 2.89

Record 2
A relaxed LaFe2Ir crystal, computed with PBE-GGA.

M_tot (Bohr magnetons per cell): 5.342
E_form (eV per atom): 0.116

a = 3.1268 Å, b = 3.1053 Å, c = 7.7706 Å
α = 66.41°, β = 90.00°, γ = 90.00°
Closest atoms and distances in Å follow each position.
Fractional positions:
La 0.5000 0.7492 0.7509  4 La 3.11-3.13, 4 Ir 3.13, 4 Fe 3.17
Fe 0.5000 0.2600 0.2401  4 Fe 2.51, 4 Ir 2.62
Fe 0.0000 0.9295 0.0704  4 Fe 2.51, 1 Ir 2.62
Ir 0.0000 0.5613 0.4386  5 Fe 2.62

What did the first record say?
A relaxed LaFeIr crystal, computed with PBE-GGA.

M_tot (Bohr magnetons per cell): 2.523
E_form (eV per atom): 0.009

a = 5.6656 Å, b = 5.6655 Å, c = 3.4719 Å
α = 72.16°, β = 72.16°, γ = 35.69°
Closest atoms and distances in Å follow each position.
Fractional positions:
Ir 0.6126 0.6126 0.3874  4 Fe 2.52
Fe 0.0581 0.0581 0.9419  4 Ir 2.52, 1 La 2.77
La 0.3293 0.3293 0.6707  1 Fe 2.77, 1 Ir 2.89

Question: E_form of number 2 (LaFe2Ir)?
Answer: 0.116 eV per atom